(1)
RbTl2Bi (PBE-GGA, optimized geometry); calculated formation energy = -0.174 eV per atom; calculated volume = 39.3 Å³/atom; total magnetic moment = 0.00 μB per formula unit
1.0
19.230 0.000 0.000
0.000 9.079 0.000
0.000 0.000 7.209
Rb Tl Bi
8 16 8
direct
0.105 0.250 0.248 Rb
0.141 0.750 0.023 Rb
0.359 0.250 0.523 Rb
0.395 0.750 0.748 Rb
0.605 0.250 0.252 Rb
0.641 0.750 0.477 Rb
0.859 0.250 0.977 Rb
0.895 0.750 0.752 Rb
0.033 0.050 0.762 Tl
0.033 0.450 0.762 Tl
0.220 0.570 0.574 Tl
0.220 0.930 0.574 Tl
0.280 0.070 0.074 Tl
0.280 0.430 0.074 Tl
0.467 0.550 0.262 Tl
0.467 0.950 0.262 Tl
0.533 0.050 0.738 Tl
0.533 0.450 0.738 Tl
0.720 0.570 0.926 Tl
0.720 0.930 0.926 Tl
0.780 0.070 0.426 Tl
0.780 0.430 0.426 Tl
0.967 0.550 0.238 Tl
0.967 0.950 0.238 Tl
0.074 0.750 0.505 Bi
0.174 0.250 0.738 Bi
0.326 0.750 0.238 Bi
0.426 0.250 0.005 Bi
0.574 0.750 0.995 Bi
0.674 0.250 0.762 Bi
0.826 0.750 0.262 Bi
0.926 0.250 0.495 Bi


(2)
RbTl5Bi (PBE-GGA, optimized geometry); calculated formation energy = -0.068 eV per atom; calculated volume = 38.5 Å³/atom; total magnetic moment = 0.00 μB per formula unit
1.0
5.007 0.000 0.000
0.000 5.007 0.000
0.000 0.000 10.757
Rb Tl Bi
1 5 1
direct
0.000 0.000 0.000 Rb
0.000 0.000 0.500 Tl
0.000 0.500 0.278 Tl
0.000 0.500 0.722 Tl
0.500 0.000 0.278 Tl
0.500 0.000 0.722 Tl
0.500 0.500 0.500 Bi


(3)
RbTl4Bi4 (PBE-GGA, optimized geometry); calculated formation energy = -0.063 eV per atom; calculated volume = 38.6 Å³/atom; total magnetic moment = 0.00 μB per formula unit
1.0
6.873 0.000 0.000
0.000 6.873 0.000
0.000 0.000 14.692
Rb Tl Bi
2 8 8
direct
0.250 0.750 0.250 Rb
0.750 0.250 0.750 Rb
0.002 0.250 0.162 Tl
0.250 0.002 0.662 Tl
0.250 0.498 0.662 Tl
0.498 0.250 0.162 Tl
0.502 0.750 0.838 Tl
0.750 0.502 0.338 Tl
0.750 0.998 0.338 Tl
0.998 0.750 0.838 Tl
0.016 0.250 0.494 Bi
0.250 0.016 0.994 Bi
0.250 0.484 0.994 Bi
0.484 0.250 0.494 Bi
0.516 0.750 0.506 Bi
0.750 0.516 0.006 Bi
0.750 0.984 0.006 Bi
0.984 0.750 0.506 Bi


(4)
Rb2TlBi (PBE-GGA, optimized geometry); calculated formation energy = -0.095 eV per atom; calculated volume = 41.3 Å³/atom; total magnetic moment = 0.35 μB per formula unit
1.0
5.441 0.000 0.000
0.000 5.441 0.000
0.000 0.000 5.585
Rb Tl Bi
2 1 1
direct
0.000 0.500 0.000 Rb
0.500 0.000 0.000 Rb
0.000 0.000 0.500 Tl
0.500 0.500 0.500 Bi